# 1
Compound: TaCoRuPb2
Source: Alexandria via LeMat-Bulk
Functional: PBE
Structure: optimized geometry

As for the density of states at the Fermi level: 9.46 states/eV per cell. As for the energy: -5.6602 eV per atom. As for the energy of formation: 1.470 eV/atom.

It has space group P4/mmm (No. 123), with a = 5.145 Å, b = 5.145 Å, c = 4.373 Å, α = 90.00°, β = 90.00° and γ = 90.00°. The asymmetric unit holds Ta at (0.000, 0.000, 0.000), Co at (0.500, 0.500, 0.000), Ru at (0.500, 0.500, 0.500) and Pb at (0.000, 0.500, 0.500).


# 2
Compound: InAg2Os
Source: Alexandria via LeMat-Bulk
Functional: PBE
Structure: optimized geometry

As for the density of states at the Fermi level: 5.13 states/eV per cell. As for the energy: -4.3313 eV per atom. As for the energy of formation: 0.586 eV/atom.

It has space group I4/mmm (No. 139), with a = 3.994 Å, b = 3.994 Å, c = 8.906 Å, α = 90.00°, β = 90.00° and γ = 90.00°. The asymmetric unit holds In at (0.000, 0.000, 0.000), Ag at (0.000, 0.500, 0.250) and Os at (0.000, 0.000, 0.500).


# 3
Compound: SrCa2Co
Source: Alexandria via LeMat-Bulk
Functional: PBE
Structure: optimized geometry

As for the density of states at the Fermi level: 13.09 states/eV per cell. As for the energy: -2.5869 eV per atom. As for the energy of formation: 0.611 eV/atom. The energy relative to the lowest polymorph listed for this composition comes out at 1.43 eV/f.u.

It has space group C2/m (No. 12), with a = 6.873 Å, b = 11.768 Å, c = 3.713 Å, α = 90.00°, β = 117.68° and γ = 90.00°. The asymmetric unit holds Sr at (0.000, 0.000, 0.000), Ca at (0.250, 0.250, 0.500) and Co at (0.000, 0.500, 0.000).


# 4
Compound: ZrCo2Se
Source: Alexandria via LeMat-Bulk
Functional: PBE
Structure: optimized geometry

For the energy relative to the elements, uncorrected, the calculation gives -17.6 kJ/mol of atoms. As for the density of states at the Fermi level: 10.80 states/eV per cell. As for the energy: -6.7436 eV per atom.

It has space group R-3m (No. 166, hexagonal axes), with a = 3.9058 Å, b = 3.9058 Å, c = 13.5431 Å, α = 90.00°, β = 90.00° and γ = 120.00°. The asymmetric unit holds Zr at (0.0000, 0.0000, 0.0000), Co at (0.0000, 0.0000, 0.2107) and Se at (0.0000, 0.0000, 0.5000).


The following magnetic moment values (in μB/cell) correspond, in order, to the records above: 0.01, 1.57, 2.55, 0.00.